Entry 1:
{
  "formula": "TaTc2Ru",
  "functional": "PBE",
  "state": "optimized geometry",
  "polymorph_energy_kcal_per_mol_atoms": 2.312,
  "formation_energy_ev_per_atom": 0.05,
  "magmom_total_mub_per_fu": 0.949,
  "crystal_system": "cubic",
  "vol_a3_per_atom": 15.4,
  "lattice": [[-3.242, -3.021, 0.144], [0.969, -4.311, -0.365], [-0.392, -2.666, 3.521]],
  "species": ["Tc", "Tc", "Ru", "Ta"],
  "fractional_positions": [[0.250, 0.250, 0.250], [0.000, 0.000, 0.000], [0.500, 0.500, 0.500], [0.750, 0.750, 0.750]]
}

Entry 2:
{
  "formula": "Ba4Hg2H",
  "functional": "PBE",
  "state": "optimized geometry",
  "polymorph_energy_kcal_per_mol_atoms": 0.551,
  "magmom_total_mub_per_fu": 0.002,
  "crystal_system": "tetragonal",
  "vol_a3_per_atom": 38.5,
  "lattice": [[-0.079, -4.147, 3.638], [1.647, -3.490, -3.943], [7.655, 5.469, 2.217]],
  "species": ["Ba", "Ba", "Ba", "Ba", "Hg", "Hg", "H"],
  "fractional_positions": [[0.184, 0.184, 0.367], [0.816, 0.816, 0.633], [0.500, 0.000, 0.000], [0.000, 0.500, 0.000], [0.376, 0.376, 0.752], [0.624, 0.624, 0.248], [0.000, 0.000, 0.000]]
}

Entry 3:
{
  "formula": "Ce2HgAs",
  "functional": "PBE",
  "state": "optimized geometry",
  "polymorph_energy_kcal_per_mol_atoms": 0.332,
  "formation_energy_ev_per_atom": -0.73,
  "magmom_total_mub_per_fu": 2.397,
  "crystal_system": "tetragonal",
  "vol_a3_per_atom": 25.7,
  "lattice": [[3.742, 0.000, 0.000], [0.000, 3.742, 0.000], [0.000, 0.000, 7.340]],
  "species": ["Ce", "Ce", "As", "Hg"],
  "fractional_positions": [[0.000, 0.000, 0.780], [0.000, 0.000, 0.220], [0.500, 0.500, 0.000], [0.500, 0.500, 0.500]]
}

Entry 4:
{
  "formula": "InGeAs2Se",
  "functional": "PBE",
  "state": "optimized geometry",
  "polymorph_energy_kcal_per_mol_atoms": 8.879,
  "magmom_total_mub_per_fu": 0.326,
  "crystal_system": "tetragonal",
  "vol_a3_per_atom": 29.9,
  "lattice": [[5.268, 0.000, 0.000], [0.000, 5.268, 0.000], [0.000, 0.000, 5.390]],
  "species": ["Ge", "Se", "In", "As", "As"],
  "fractional_positions": [[0.500, 0.500, 0.500], [0.000, 0.000, 0.500], [0.000, 0.000, 0.000], [0.500, 0.000, 0.000], [0.000, 0.500, 0.000]]
}

Entry 5:
{
  "formula": "Cs4KP4",
  "functional": "PBE",
  "state": "optimized geometry",
  "formation_energy_ev_per_atom": -0.27,
  "magmom_total_mub_per_fu": 3.055,
  "crystal_system": "tetragonal",
  "vol_a3_per_atom": 43.1,
  "lattice": [[-1.222, -1.542, -6.804], [1.304, -10.176, 2.072], [-10.226, -0.895, 2.040]],
  "species": ["Cs", "Cs", "Cs", "Cs", "Cs", "Cs", "Cs", "Cs", "P", "P", "P", "P", "P", "P", "P", "P", "K", "K"],
  "fractional_positions": [[0.161, 0.197, 0.577], [0.161, 0.803, 0.423], [0.839, 0.423, 0.197], [0.661, 0.923, 0.697], [0.661, 0.077, 0.303], [0.339, 0.303, 0.923], [0.339, 0.697, 0.077], [0.839, 0.577, 0.803], [0.679, 0.261, 0.662], [0.821, 0.239, 0.838], [0.321, 0.338, 0.261], [0.179, 0.838, 0.761], [0.321, 0.662, 0.739], [0.179, 0.162, 0.239], [0.679, 0.739, 0.338], [0.821, 0.761, 0.162], [0.500, 0.500, 0.500], [0.000, 0.000, 0.000]]
}

Entry 6:
{
  "formula": "LaBeTe3",
  "functional": "PBE",
  "state": "optimized geometry",
  "polymorph_energy_kcal_per_mol_atoms": 0.000,
  "magmom_total_mub_per_fu": 0.000,
  "crystal_system": "cubic",
  "vol_a3_per_atom": 27.1,
  "lattice": [[5.138, 0.000, 0.000], [0.000, 5.138, 0.000], [0.000, 0.000, 5.138]],
  "species": ["Te", "Te", "Te", "Be", "La"],
  "fractional_positions": [[0.000, 0.000, 0.500], [0.000, 0.500, 0.000], [0.500, 0.000, 0.000], [0.000, 0.000, 0.000], [0.500, 0.500, 0.500]]
}

Entry 7:
{
  "formula": "SrPmSb2",
  "functional": "PBE",
  "state": "optimized geometry",
  "polymorph_energy_kcal_per_mol_atoms": 2.355,
  "magmom_total_mub_per_fu": 0.056,
  "crystal_system": "tetragonal",
  "vol_a3_per_atom": 30.5,
  "lattice": [[-2.575, -2.030, -1.128], [2.690, -4.726, 2.366], [-2.923, 0.882, 5.085]],
  "species": ["Sb", "Sb", "Pm", "Sr"],
  "fractional_positions": [[0.000, 0.000, 0.500], [0.000, 0.500, 0.000], [0.500, 0.500, 0.500], [0.500, 0.000, 0.000]]
}